[1]
The following is a DFT calculation (PBE) of crystalline Os2RuC at its relaxed geometry.

Geometry as extended XYZ:
```
8
Lattice="4.754 0.000 0.000 0.000 2.755 0.000 -0.053 0.000 7.821" Properties=species:S:1:pos:R:3 pbc="T T T"
Os 0.000 0.000 0.000
Os 0.778 1.377 2.112
Os 2.377 1.377 0.000
Os 3.155 0.000 2.112
Ru 1.585 0.000 4.507
Ru 3.962 1.377 4.507
C -0.006 0.000 5.816
C 2.371 1.377 5.816
```

Results
Space group: Cm
DFT formation energy in eV/atom: 0.5129
Fermi-level density of states in states/eV/atom: 0.7158


[2]
The following is a DFT calculation (PBE) of crystalline Os2RuC at its relaxed geometry.

Geometry as extended XYZ:
```
4
Lattice="2.799 0.000 0.000 0.000 2.799 0.000 0.000 0.000 6.642" Properties=species:S:1:pos:R:3 pbc="T T T"
Os 0.000 0.000 0.000
Os 1.399 1.400 1.879
Ru 0.000 0.000 3.805
C 0.000 1.400 5.211
```

Results
Space group: Pmm2
DFT formation energy in eV/atom: 0.5520
Fermi-level density of states in states/eV/atom: 0.6721


[3]
The following is a DFT calculation (PBE) of crystalline Os2RuC at its relaxed geometry.

Geometry as extended XYZ:
```
4
Lattice="2.809 0.000 0.000 -1.405 2.433 0.000 0.000 0.000 7.125" Properties=species:S:1:pos:R:3 pbc="T T T"
Os 0.000 0.000 1.393
Os 0.000 0.000 5.732
Ru 1.405 0.811 3.562
C 1.405 0.811 0.000
```

Results
Space group: P-6m2
DFT formation energy in eV/atom: 0.3379
Fermi-level density of states in states/eV/atom: 0.6710


[4]
The following is a DFT calculation (PBE) of crystalline Os2RuC at its relaxed geometry.

Geometry as extended XYZ:
```
8
Lattice="3.458 0.000 0.000 0.000 10.641 0.000 0.000 0.000 2.764" Properties=species:S:1:pos:R:3 pbc="T T T"
Os 0.000 1.942 0.000
Os 0.000 8.699 0.000
Os 1.729 3.378 1.382
Os 1.729 7.263 1.382
Ru 0.000 5.321 2.741
Ru 1.729 0.000 1.359
C 0.000 0.000 0.178
C 1.729 5.321 1.560
```

Results
Space group: Imm2
DFT formation energy in eV/atom: 0.4444
Fermi-level density of states in states/eV/atom: 0.7978


[5]
The following is a DFT calculation (PBE) of crystalline Os2Ru2C at its relaxed geometry.

Geometry as extended XYZ:
```
10
Lattice="7.394 0.000 0.000 0.000 7.394 0.000 0.000 0.000 2.738" Properties=species:S:1:pos:R:3 pbc="T T T"
Os 0.937 2.760 0.000
Os 2.760 6.457 0.000
Os 4.635 0.937 0.000
Os 6.457 4.635 0.000
Ru 1.238 4.935 1.369
Ru 2.460 1.238 1.369
Ru 4.935 6.157 1.369
Ru 6.157 2.460 1.369
C 0.000 0.000 0.000
C 3.697 3.697 0.000
```

Results
Space group: P4/mbm
DFT formation energy in eV/atom: 1.5814
Fermi-level density of states in states/eV/atom: 1.1397


[6]
The following is a DFT calculation (PBE) of crystalline Os2Ru2C at its relaxed geometry.

Geometry as extended XYZ:
```
10
Lattice="3.395 0.000 0.000 0.000 3.395 0.000 0.000 0.000 12.870" Properties=species:S:1:pos:R:3 pbc="T T T"
Os 0.000 0.000 1.240
Os 0.000 0.000 11.630
Os 1.698 1.698 5.195
Os 1.698 1.698 7.675
Ru 0.000 1.698 3.218
Ru 0.000 1.698 9.653
Ru 1.698 0.000 3.218
Ru 1.698 0.000 9.653
C 0.000 0.000 6.435
C 1.698 1.698 0.000
```

Results
Space group: I4/mmm
DFT formation energy in eV/atom: 1.7456
Fermi-level density of states in states/eV/atom: 1.1583


Q: What is the DFT formation energy in the fifth record?
A: 1.5814 eV/atom